# Ca2GdHf | Alexandria | GGA-PBE | optimized geometry
# VASP energy (eV per cell): -77.89
# ΔH_f (0 K) (eV per formula unit): 2.074
data_Ca2GdHf
_chemical_formula_sum 'Ca6 Gd3 Hf3'
_symmetry_space_group_name_H-M 'R -3 m'
_symmetry_Int_Tables_number 166
_symmetry_space_group_name_Hall '-R 3 2"'
_cell_length_a 3.3933
_cell_length_b 3.3933
_cell_length_c 38.1639
_cell_angle_alpha 90.00
_cell_angle_beta 90.00
_cell_angle_gamma 120.00
loop_
_atom_site_label
_atom_site_type_symbol
_atom_site_fract_x
_atom_site_fract_y
_atom_site_fract_z
Ca1 Ca 0.0000 0.0000 0.0844
Gd1 Gd 0.0000 0.0000 0.5000
Hf1 Hf 0.0000 0.0000 0.0000

***

# CaGdHg | Alexandria | GGA-PBE | optimized geometry
# VASP energy (eV per cell): -34.67
# ΔH_f (0 K) (eV per formula unit): -0.950
data_CaGdHg
_chemical_formula_sum 'Ca2 Gd2 Hg2'
_symmetry_space_group_name_H-M 'I 4 m m'
_symmetry_Int_Tables_number 107
_symmetry_space_group_name_Hall 'I 4 -2'
_cell_length_a 3.723
_cell_length_b 3.723
_cell_length_c 13.281
_cell_angle_alpha 90.00
_cell_angle_beta 90.00
_cell_angle_gamma 90.00
loop_
_atom_site_label
_atom_site_type_symbol
_atom_site_fract_x
_atom_site_fract_y
_atom_site_fract_z
Ca1 Ca 0.000 0.000 0.000
Gd1 Gd 0.000 0.000 0.284
Hg1 Hg 0.000 0.000 0.648

***

# CaGdHg4 | Alexandria | GGA-PBE | optimized geometry
# VASP energy (eV per cell): -75.27
# ΔH_f (0 K) (eV per formula unit): -1.527
data_CaGdHg4
_chemical_formula_sum 'Ca4 Gd4 Hg16'
_symmetry_space_group_name_H-M 'F -4 3 m'
_symmetry_Int_Tables_number 216
_symmetry_space_group_name_Hall 'F -4 2 3'
_cell_length_a 8.508
_cell_length_b 8.508
_cell_length_c 8.508
_cell_angle_alpha 90.00
_cell_angle_beta 90.00
_cell_angle_gamma 90.00
loop_
_atom_site_label
_atom_site_type_symbol
_atom_site_fract_x
_atom_site_fract_y
_atom_site_fract_z
Ca1 Ca 0.000 0.000 0.000
Gd1 Gd 0.250 0.250 0.750
Hg1 Hg 0.125 0.125 0.375